[1]
# ZnCl2, relaxed, DFT PBE
# - crystal system = orthorhombic
# - E_tot (eV/cell) = -15.805
data_ZnCl2
_cell_length_a 6.148
_cell_length_b 3.620
_cell_length_c 6.128
_cell_angle_alpha 90.00
_cell_angle_beta 90.00
_cell_angle_gamma 90.00
_symmetry_space_group_name_H-M 'P 1'
_symmetry_Int_Tables_number 1
_symmetry_space_group_name_Hall 'P 1'
loop_
_atom_site_label
_atom_site_fract_x
_atom_site_fract_y
_atom_site_fract_z
Zn1 0.000 0.000 0.000
Zn2 0.500 0.000 0.000
Cl1 0.250 0.000 0.279
Cl2 0.250 0.500 0.810
Cl3 0.750 0.000 0.721
Cl4 0.750 0.500 0.190

=====

[2]
# DyMgPb2, relaxed, DFT PBE
# - crystal system = tetragonal
# - magnetic moment (Bohr magnetons per cell) = 0.00
# - E_tot (eV/cell) = -14.875
data_DyMgPb2
_cell_length_a 4.902
_cell_length_b 4.902
_cell_length_c 4.423
_cell_angle_alpha 90.00
_cell_angle_beta 90.00
_cell_angle_gamma 90.00
_symmetry_space_group_name_H-M 'P 1'
_symmetry_Int_Tables_number 1
_symmetry_space_group_name_Hall 'P 1'
loop_
_atom_site_label
_atom_site_fract_x
_atom_site_fract_y
_atom_site_fract_z
Dy1 0.000 0.000 0.000
Mg1 0.500 0.500 0.000
Pb1 0.000 0.500 0.500
Pb2 0.500 0.000 0.500

=====

[3]
# KCdGaAu2, relaxed, DFT PBE
# - crystal system = tetragonal
# - E_tot (eV/cell) = -12.853
data_KCdGaAu2
_cell_length_a 6.690
_cell_length_b 6.690
_cell_length_c 6.690
_cell_angle_alpha 139.45
_cell_angle_beta 139.45
_cell_angle_gamma 58.69
_symmetry_space_group_name_H-M 'P 1'
_symmetry_Int_Tables_number 1
_symmetry_space_group_name_Hall 'P 1'
loop_
_atom_site_label
_atom_site_fract_x
_atom_site_fract_y
_atom_site_fract_z
K1 0.000 0.000 0.000
Cd1 0.250 0.750 0.500
Ga1 0.750 0.250 0.500
Au1 0.380 0.380 0.000
Au2 0.620 0.620 0.000

=====

[4]
# Li2DyO4, relaxed, DFT PBE
# - crystal system = cubic
# - magnetic moment (Bohr magnetons per cell) = 6.00
# - E_tot (eV/cell) = -77.236
data_Li2DyO4
_cell_length_a 6.162
_cell_length_b 6.162
_cell_length_c 6.162
_cell_angle_alpha 60.00
_cell_angle_beta 60.00
_cell_angle_gamma 60.00
_symmetry_space_group_name_H-M 'P 1'
_symmetry_Int_Tables_number 1
_symmetry_space_group_name_Hall 'P 1'
loop_
_atom_site_label
_atom_site_fract_x
_atom_site_fract_y
_atom_site_fract_z
Li1 0.000 0.000 0.000
Li2 0.000 0.000 0.500
Li3 0.000 0.500 0.000
Li4 0.500 0.000 0.000
Dy1 0.375 0.375 0.375
Dy2 0.625 0.625 0.625
O1 0.206 0.765 0.765
O2 0.235 0.235 0.235
O3 0.235 0.235 0.794
O4 0.235 0.794 0.235
O5 0.765 0.206 0.765
O6 0.765 0.765 0.206
O7 0.765 0.765 0.765
O8 0.794 0.235 0.235

=====

[5]
# TbGdSi2I2, relaxed, DFT PBE
# - crystal system = trigonal
# - magnetic moment (Bohr magnetons per cell) = 0.00
# - E_tot (eV/cell) = -29.449
data_TbGdSi2I2
_cell_length_a 4.137
_cell_length_b 4.137
_cell_length_c 12.177
_cell_angle_alpha 90.00
_cell_angle_beta 90.00
_cell_angle_gamma 120.00
_symmetry_space_group_name_H-M 'P 1'
_symmetry_Int_Tables_number 1
_symmetry_space_group_name_Hall 'P 1'
loop_
_atom_site_label
_atom_site_fract_x
_atom_site_fract_y
_atom_site_fract_z
Tb1 0.000 0.000 0.000
Gd1 0.000 0.000 0.688
Si1 0.333 0.667 0.852
Si2 0.667 0.333 0.837
I1 0.333 0.667 0.519
I2 0.667 0.333 0.169

=====

[6]
# TaNb, relaxed, DFT PBE
# - offset from the most stable computed form (eV/atom) = 1.055
# - ΔE_f (eV/atom) = 1.06
# - crystal system = cubic
# - magnetic moment (Bohr magnetons per cell) = 0.00
# - E_tot (eV/cell) = -19.836
data_TaNb
_cell_length_a 3.862
_cell_length_b 3.862
_cell_length_c 3.862
_cell_angle_alpha 60.00
_cell_angle_beta 60.00
_cell_angle_gamma 60.00
_symmetry_space_group_name_H-M 'P 1'
_symmetry_Int_Tables_number 1
_symmetry_space_group_name_Hall 'P 1'
loop_
_atom_site_label
_atom_site_fract_x
_atom_site_fract_y
_atom_site_fract_z
Ta1 0.000 0.000 0.000
Nb1 0.500 0.500 0.500

=====

[7]
# LaHoNp, relaxed, DFT PBE
# - ΔE_f (eV/atom) = 1.14
# - crystal system = cubic
# - magnetic moment (Bohr magnetons per cell) = 5.12
# - E_tot (eV/cell) = -18.840
data_LaHoNp
_cell_length_a 5.265
_cell_length_b 5.265
_cell_length_c 5.265
_cell_angle_alpha 60.00
_cell_angle_beta 60.00
_cell_angle_gamma 60.00
_symmetry_space_group_name_H-M 'P 1'
_symmetry_Int_Tables_number 1
_symmetry_space_group_name_Hall 'P 1'
loop_
_atom_site_label
_atom_site_fract_x
_atom_site_fract_y
_atom_site_fract_z
La1 0.000 0.000 0.000
Ho1 0.750 0.750 0.750
Np1 0.500 0.500 0.500

=====

[8]
# GaFeWAu, relaxed, DFT PBE
# - offset from the most stable computed form (eV/atom) = 0.000
# - crystal system = cubic
# - magnetic moment (Bohr magnetons per cell) = 1.37
# - E_tot (eV/cell) = -25.913
data_GaFeWAu
_cell_length_a 4.414
_cell_length_b 4.414
_cell_length_c 4.414
_cell_angle_alpha 60.00
_cell_angle_beta 60.00
_cell_angle_gamma 60.00
_symmetry_space_group_name_H-M 'P 1'
_symmetry_Int_Tables_number 1
_symmetry_space_group_name_Hall 'P 1'
loop_
_atom_site_label
_atom_site_fract_x
_atom_site_fract_y
_atom_site_fract_z
Ga1 0.000 0.000 0.000
Fe1 0.250 0.250 0.250
W1 0.750 0.750 0.750
Au1 0.500 0.500 0.500

=====

[9]
# Nb5SnSe8, relaxed, DFT PBE
# - crystal system = monoclinic
# - magnetic moment (Bohr magnetons per cell) = 0.01
# - E_tot (eV/cell) = -92.718
data_Nb5SnSe8
_cell_length_a 9.479
_cell_length_b 9.479
_cell_length_c 9.394
_cell_angle_alpha 103.06
_cell_angle_beta 103.06
_cell_angle_gamma 20.92
_symmetry_space_group_name_H-M 'P 1'
_symmetry_Int_Tables_number 1
_symmetry_space_group_name_Hall 'P 1'
loop_
_atom_site_label
_atom_site_fract_x
_atom_site_fract_y
_atom_site_fract_z
Nb1 0.000 0.000 0.000
Nb2 0.288 0.288 0.631
Nb3 0.360 0.360 0.000
Nb4 0.640 0.640 0.000
Nb5 0.712 0.712 0.369
Sn1 0.500 0.500 0.500
Se1 0.084 0.084 0.806
Se2 0.150 0.150 0.510
Se3 0.242 0.242 0.159
Se4 0.431 0.431 0.799
Se5 0.569 0.569 0.201
Se6 0.758 0.758 0.841
Se7 0.850 0.850 0.490
Se8 0.916 0.916 0.194

=====

[10]
# DyNpCo, relaxed, DFT PBE
# - ΔE_f (eV/atom) = 0.67
# - crystal system = cubic
# - magnetic moment (Bohr magnetons per cell) = 0.04
# - E_tot (eV/cell) = -22.460
data_DyNpCo
_cell_length_a 4.591
_cell_length_b 4.591
_cell_length_c 4.591
_cell_angle_alpha 60.00
_cell_angle_beta 60.00
_cell_angle_gamma 60.00
_symmetry_space_group_name_H-M 'P 1'
_symmetry_Int_Tables_number 1
_symmetry_space_group_name_Hall 'P 1'
loop_
_atom_site_label
_atom_site_fract_x
_atom_site_fract_y
_atom_site_fract_z
Dy1 0.000 0.000 0.000
Np1 0.500 0.500 0.500
Co1 0.250 0.250 0.250

=====

[11]
# RbSmErSe3, relaxed, DFT PBE
# - crystal system = orthorhombic
# - magnetic moment (Bohr magnetons per cell) = 0.01
# - E_tot (eV/cell) = -60.066
data_RbSmErSe3
_cell_length_a 8.181
_cell_length_b 8.181
_cell_length_c 11.363
_cell_angle_alpha 90.00
_cell_angle_beta 90.00
_cell_angle_gamma 147.72
_symmetry_space_group_name_H-M 'P 1'
_symmetry_Int_Tables_number 1
_symmetry_space_group_name_Hall 'P 1'
loop_
_atom_site_label
_atom_site_fract_x
_atom_site_fract_y
_atom_site_fract_z
Rb1 0.240 0.760 0.750
Rb2 0.760 0.240 0.250
Sm1 0.500 0.500 0.000
Sm2 0.500 0.500 0.500
Er1 0.032 0.968 0.250
Er2 0.968 0.032 0.750
Se1 0.123 0.877 0.051
Se2 0.123 0.877 0.449
Se3 0.438 0.562 0.250
Se4 0.562 0.438 0.750
Se5 0.877 0.123 0.551
Se6 0.877 0.123 0.949

=====

[12]
# SrCdCoS3, relaxed, DFT PBE
# - offset from the most stable computed form (eV/atom) = 0.192
# - crystal system = orthorhombic
# - magnetic moment (Bohr magnetons per cell) = 6.00
# - E_tot (eV/cell) = -52.004
data_SrCdCoS3
_cell_length_a 6.924
_cell_length_b 6.924
_cell_length_c 9.769
_cell_angle_alpha 90.00
_cell_angle_beta 90.00
_cell_angle_gamma 146.98
_symmetry_space_group_name_H-M 'P 1'
_symmetry_Int_Tables_number 1
_symmetry_space_group_name_Hall 'P 1'
loop_
_atom_site_label
_atom_site_fract_x
_atom_site_fract_y
_atom_site_fract_z
Sr1 0.234 0.766 0.750
Sr2 0.766 0.234 0.250
Cd1 0.486 0.514 0.250
Cd2 0.514 0.486 0.750
Co1 0.000 0.000 0.000
Co2 0.000 0.000 0.500
S1 0.099 0.901 0.250
S2 0.375 0.625 0.045
S3 0.375 0.625 0.455
S4 0.625 0.375 0.545
S5 0.625 0.375 0.955
S6 0.901 0.099 0.750

=====

[13]
# Sr3Cd8Ge4, relaxed, DFT PBE
# - crystal system = tetragonal
# - E_tot (eV/cell) = -35.722
data_Sr3Cd8Ge4
_cell_length_a 18.353
_cell_length_b 18.353
_cell_length_c 18.353
_cell_angle_alpha 165.75
_cell_angle_beta 165.75
_cell_angle_gamma 20.20
_symmetry_space_group_name_H-M 'P 1'
_symmetry_Int_Tables_number 1
_symmetry_space_group_name_Hall 'P 1'
loop_
_atom_site_label
_atom_site_fract_x
_atom_site_fract_y
_atom_site_fract_z
Sr1 0.000 0.000 0.000
Sr2 0.330 0.330 0.000
Sr3 0.670 0.670 0.000
Cd1 0.082 0.582 0.500
Cd2 0.130 0.130 0.000
Cd3 0.250 0.750 0.500
Cd4 0.418 0.918 0.500
Cd5 0.582 0.082 0.500
Cd6 0.750 0.250 0.500
Cd7 0.870 0.870 0.000
Cd8 0.918 0.418 0.500
Ge1 0.204 0.204 0.000
Ge2 0.465 0.465 0.000
Ge3 0.535 0.535 0.000
Ge4 0.796 0.796 0.000

=====

[14]
# NdTe2Pb, relaxed, DFT PBE
# - crystal system = tetragonal
# - magnetic moment (Bohr magnetons per cell) = 0.00
# - E_tot (eV/cell) = -18.182
data_NdTe2Pb
_cell_length_a 4.574
_cell_length_b 4.574
_cell_length_c 6.503
_cell_angle_alpha 90.00
_cell_angle_beta 90.00
_cell_angle_gamma 90.00
_symmetry_space_group_name_H-M 'P 1'
_symmetry_Int_Tables_number 1
_symmetry_space_group_name_Hall 'P 1'
loop_
_atom_site_label
_atom_site_fract_x
_atom_site_fract_y
_atom_site_fract_z
Nd1 0.000 0.000 0.000
Te1 0.000 0.000 0.500
Te2 0.500 0.500 0.000
Pb1 0.500 0.500 0.500

=====

[15]
# MgTaIr2, relaxed, DFT PBE
# - offset from the most stable computed form (eV/atom) = 0.045
# - crystal system = tetragonal
# - magnetic moment (Bohr magnetons per cell) = 0.01
# - E_tot (eV/cell) = -33.380
data_MgTaIr2
_cell_length_a 4.425
_cell_length_b 4.425
_cell_length_c 4.425
_cell_angle_alpha 117.78
_cell_angle_beta 117.78
_cell_angle_gamma 93.89
_symmetry_space_group_name_H-M 'P 1'
_symmetry_Int_Tables_number 1
_symmetry_space_group_name_Hall 'P 1'
loop_
_atom_site_label
_atom_site_fract_x
_atom_site_fract_y
_atom_site_fract_z
Mg1 0.000 0.000 0.000
Ta1 0.500 0.500 0.000
Ir1 0.250 0.750 0.500
Ir2 0.750 0.250 0.500

=====

[16]
# Zr2TcBi, relaxed, DFT PBE
# - crystal system = cubic
# - magnetic moment (Bohr magnetons per cell) = 1.58
# - E_tot (eV/cell) = -31.141
data_Zr2TcBi
_cell_length_a 4.872
_cell_length_b 4.872
_cell_length_c 4.872
_cell_angle_alpha 60.00
_cell_angle_beta 60.00
_cell_angle_gamma 60.00
_symmetry_space_group_name_H-M 'P 1'
_symmetry_Int_Tables_number 1
_symmetry_space_group_name_Hall 'P 1'
loop_
_atom_site_label
_atom_site_fract_x
_atom_site_fract_y
_atom_site_fract_z
Zr1 0.000 0.000 0.000
Zr2 0.250 0.250 0.250
Tc1 0.750 0.750 0.750
Bi1 0.500 0.500 0.500

=====

[17]
# Na3Tb2PrPb3, relaxed, DFT PBE
# - crystal system = hexagonal
# - magnetic moment (Bohr magnetons per cell) = 0.02
# - E_tot (eV/cell) = -31.277
data_Na3Tb2PrPb3
_cell_length_a 5.225
_cell_length_b 5.225
_cell_length_c 10.724
_cell_angle_alpha 90.00
_cell_angle_beta 90.00
_cell_angle_gamma 120.00
_symmetry_space_group_name_H-M 'P 1'
_symmetry_Int_Tables_number 1
_symmetry_space_group_name_Hall 'P 1'
loop_
_atom_site_label
_atom_site_fract_x
_atom_site_fract_y
_atom_site_fract_z
Na1 0.000 0.000 0.000
Na2 0.667 0.333 0.311
Na3 0.667 0.333 0.689
Tb1 0.333 0.667 0.164
Tb2 0.333 0.667 0.836
Pr1 0.333 0.667 0.500
Pb1 0.000 0.000 0.334
Pb2 0.000 0.000 0.666
Pb3 0.667 0.333 0.000

=====

[18]
# KHfB, relaxed, DFT PBE
# - offset from the most stable computed form (eV/atom) = 0.000
# - crystal system = cubic
# - magnetic moment (Bohr magnetons per cell) = 0.00
# - E_tot (eV/cell) = -13.506
data_KHfB
_cell_length_a 4.455
_cell_length_b 4.455
_cell_length_c 4.455
_cell_angle_alpha 60.00
_cell_angle_beta 60.00
_cell_angle_gamma 60.00
_symmetry_space_group_name_H-M 'P 1'
_symmetry_Int_Tables_number 1
_symmetry_space_group_name_Hall 'P 1'
loop_
_atom_site_label
_atom_site_fract_x
_atom_site_fract_y
_atom_site_fract_z
K1 0.000 0.000 0.000
Hf1 0.500 0.500 0.500
B1 0.750 0.750 0.750

=====

[19]
# PmYU, relaxed, DFT PBE
# - offset from the most stable computed form (eV/atom) = 0.000
# - ΔE_f (eV/atom) = 1.28
# - crystal system = cubic
# - magnetic moment (Bohr magnetons per cell) = 4.33
# - E_tot (eV/cell) = -18.668
data_PmYU
_cell_length_a 5.293
_cell_length_b 5.293
_cell_length_c 5.293
_cell_angle_alpha 60.00
_cell_angle_beta 60.00
_cell_angle_gamma 60.00
_symmetry_space_group_name_H-M 'P 1'
_symmetry_Int_Tables_number 1
_symmetry_space_group_name_Hall 'P 1'
loop_
_atom_site_label
_atom_site_fract_x
_atom_site_fract_y
_atom_site_fract_z
Pm1 0.000 0.000 0.000
Y1 0.500 0.500 0.500
U1 0.750 0.750 0.750

=====

[20]
# CdTcSn, relaxed, DFT PBE
# - offset from the most stable computed form (eV/atom) = 0.000
# - crystal system = cubic
# - magnetic moment (Bohr magnetons per cell) = 0.14
# - E_tot (eV/cell) = -13.885
data_CdTcSn
_cell_length_a 4.533
_cell_length_b 4.533
_cell_length_c 4.533
_cell_angle_alpha 60.00
_cell_angle_beta 60.00
_cell_angle_gamma 60.00
_symmetry_space_group_name_H-M 'P 1'
_symmetry_Int_Tables_number 1
_symmetry_space_group_name_Hall 'P 1'
loop_
_atom_site_label
_atom_site_fract_x
_atom_site_fract_y
_atom_site_fract_z
Cd1 0.000 0.000 0.000
Tc1 0.750 0.750 0.750
Sn1 0.500 0.500 0.500

=====

no.,V (Å³/cell)
1,136.4
2,106.3
3,125.4
4,165.4
5,180.5
6,40.7
7,103.2
8,60.8
9,293.3
10,68.4
11,406.2
12,255.2
13,374.4
14,136.0
15,63.2
16,81.8
17,253.5
18,62.5
19,104.8
20,65.9